[1]
A geometry-optimized KMg2Tl4 structure, computed with GGA-PBE.

Unit cell a=8.142 b=8.142 c=6.217 alpha=90.00 beta=90.00 gamma=90.00
Space group I4/mmm (No. 139)
Inequivalent atoms, fractional coordinates:
K1 0.000 0.000 0.000 x2
Mg1 0.000 0.500 0.250 x4
Tl1 0.198 0.198 0.500 x8

Computed properties:
Size of the total moment: 0.00 μB per cell
Crystal system: tetragonal

=====

[2]
A geometry-optimized Na4Tl7Pb structure, computed with GGA-PBE.

Unit cell a=6.031 b=6.831 c=9.258 alpha=99.93 beta=96.93 gamma=107.72
Space group P-1 (No. 2)
Inequivalent atoms, fractional coordinates:
Na1 0.000 0.085 0.333 x2
Na2 0.500 0.179 0.167 x2
Tl1 0.001 0.250 0.996 x2
Tl2 0.001 0.413 0.665 x2
Tl3 0.498 0.673 0.166 x2
Tl4 0.500 0.000 0.500 x1
Pb1 0.500 0.500 0.500 x1

Computed properties:
Size of the total moment: 0.00 μB per cell
Crystal system: triclinic

=====

[3]
A geometry-optimized Dy3ErTl4Se8 structure, computed with GGA-PBE.

Unit cell a=8.3554 b=8.3554 c=23.3268 alpha=90.00 beta=90.00 gamma=120.00
Space group R-3m (No. 166, hexagonal axes)
Inequivalent atoms, fractional coordinates:
Dy1 0.0000 0.5000 0.0000 x9
Er1 0.0000 0.0000 0.0000 x3
Tl1 0.0000 0.0000 0.5000 x3
Tl2 0.0000 0.5000 0.5000 x9
Se1 0.0000 0.0000 0.2652 x6
Se2 0.0019 0.5009 0.7345 x18

Computed properties:
Size of the total moment: 0.00 μB per cell
Crystal system: trigonal

=====

[4]
A geometry-optimized Zn2OsPt structure, computed with GGA-PBE.

Unit cell a=2.7623 b=2.7623 c=26.6976 alpha=90.00 beta=90.00 gamma=120.00
Space group R3m (No. 160, hexagonal axes)
Inequivalent atoms, fractional coordinates:
Zn1 0.0000 0.0000 0.0000 x3
Zn2 0.0000 0.0000 0.2492 x3
Os1 0.0000 0.0000 0.7487 x3
Pt1 0.0000 0.0000 0.5005 x3

Computed properties:
Size of the total moment: 0.00 μB per cell
Crystal system: trigonal

=====

| no. | final energy (eV/atom) |
| --- | --- |
| 1 | -2.001 |
| 2 | -2.216 |
| 3 | -4.868 |
| 4 | -4.935 |